VASP calculation (SCAN) on In2SI at its PBEsol-relaxed geometry.

Properties
Uncorrected energy: -28.3301 eV per atom
Formation energy (no corrections): -44 meV/atom

abc: 5.2608 5.2608 5.2608
angles: 60.00 60.00 60.00
With the nearest neighbours (Å) after each atom.
Element x y z (fractional)
I 0.5000 0.5000 0.5000  8 In 3.22
S 0.0000 0.0000 0.0000  8 In 3.22
In 0.2500 0.2500 0.2500  4 I 3.22, 4 S 3.22
In 0.7500 0.7500 0.7500  4 S 3.22, 4 I 3.22

---

VASP calculation (SCAN) on InS2I at its PBEsol-relaxed geometry.

Properties
Uncorrected energy: -22.7064 eV per atom
E above lowest polymorph: 0.000 eV/f.u.
Formation energy (no corrections): -360 meV/atom

abc: 3.9506 3.9506 8.2126
angles: 76.08 76.08 60.00
With the nearest neighbours (Å) after each atom.
Element x y z (fractional)
I 0.0000 0.0000 0.0000  2 S 2.61
S 0.8898 0.8898 0.3307  1 I 2.61, 3 In 2.64
S 0.1102 0.1102 0.6693  1 I 2.61, 3 In 2.64
In 0.5000 0.5000 0.5000  6 S 2.64

---

VASP calculation (SCAN) on In2Sb2I at its PBEsol-relaxed geometry.

Properties
Uncorrected energy: -35.7593 eV per atom
Formation energy (no corrections): -152 meV/atom

abc: 5.4951 6.3206 5.4951
angles: 64.23 90.00 115.77
With the nearest neighbours (Å) after each atom.
Element x y z (fractional)
I 0.0000 0.0000 0.0000  2 Sb 3.58, 8 In 3.71
Sb 0.6413 0.2826 0.3587  1 Sb 2.82, 4 In 2.95
Sb 0.3587 0.7174 0.6413  1 Sb 2.82, 4 In 2.95
In 0.7500 0.5000 0.7500  4 Sb 2.95
In 0.2500 0.5000 0.2500  4 Sb 2.95

---

VASP calculation (SCAN) on SrInSb2I at its PBEsol-relaxed geometry.

Properties
Uncorrected energy: -33.5594 eV per atom
Formation energy (no corrections): -174 meV/atom

abc: 5.4916 5.4916 6.0924
angles: 90.00 90.00 90.00
With the nearest neighbours (Å) after each atom.
Element x y z (fractional)
I 0.0000 0.0000 0.5000  2 In 3.05
Sb 0.0000 0.5000 0.0000  2 In 2.75
Sb 0.5000 0.0000 0.0000  2 In 2.75
Sr 0.5000 0.5000 0.5000  4 I 3.88, 8 Sb 4.10
In 0.0000 0.0000 0.0000  4 Sb 2.75, 2 I 3.05

---

VASP calculation (SCAN) on InSbTeI2 at its PBEsol-relaxed geometry.

Properties
Uncorrected energy: -35.8700 eV per atom
Formation energy (no corrections): 406 meV/atom

abc: 5.5702 5.5702 5.8927
angles: 90.00 90.00 90.00
With the nearest neighbours (Å) after each atom.
Element x y z (fractional)
I 0.0000 0.5000 0.0000  2 In 2.79
I 0.5000 0.0000 0.0000  2 In 2.79
Sb 0.0000 0.0000 0.5000  2 In 2.95
Te 0.5000 0.5000 0.5000  4 Sb 3.94, 8 I 4.05
In 0.0000 0.0000 0.0000  4 I 2.79, 2 Sb 2.95

---

VASP calculation (SCAN) on TiInSbI2 at its PBEsol-relaxed geometry.

Properties
Uncorrected energy: -32.1187 eV per atom
Formation energy (no corrections): -87 meV/atom

abc: 5.3696 5.4329 5.4329
angles: 90.00 90.00 90.00
With the nearest neighbours (Å) after each atom.
Element x y z (fractional)
I 0.0000 0.0000 0.5000  2 Ti 2.72
I 0.0000 0.5000 0.0000  2 Ti 2.72
Sb 0.5000 0.0000 0.0000  2 Ti 2.68
Ti 0.0000 0.0000 0.0000  2 Sb 2.68, 4 I 2.72
In 0.5000 0.5000 0.5000  8 I 3.82, 4 Sb 3.84

---

VASP calculation (SCAN) on ZrInSb2I at its PBEsol-relaxed geometry.

Properties
Uncorrected energy: -35.0556 eV per atom
E above lowest polymorph: 0.000 eV/f.u.
Formation energy (no corrections): 14 meV/atom

abc: 5.5058 5.5058 5.7205
angles: 90.00 90.00 90.00
With the nearest neighbours (Å) after each atom.
Element x y z (fractional)
I 0.0000 0.0000 0.5000  2 Zr 2.86
Sb 0.0000 0.5000 0.0000  2 Zr 2.75
Sb 0.5000 0.0000 0.0000  2 Zr 2.75
Zr 0.0000 0.0000 0.0000  4 Sb 2.75, 2 I 2.86
In 0.5000 0.5000 0.5000  4 I 3.89, 8 Sb 3.97

---

VASP calculation (SCAN) on ZrInSb2I at its PBEsol-relaxed geometry.

Properties
Uncorrected energy: -34.2679 eV per atom
E above lowest polymorph: 3.939 eV/f.u.
Formation energy (no corrections): 802 meV/atom

abc: 5.4138 5.4138 5.5813
angles: 90.00 90.00 90.00
With the nearest neighbours (Å) after each atom.
Element x y z (fractional)
I 0.0000 0.0000 0.5000  2 In 2.79
Sb 0.0000 0.5000 0.0000  2 In 2.71
Sb 0.5000 0.0000 0.0000  2 In 2.71
Zr 0.5000 0.5000 0.5000  4 I 3.83, 8 Sb 3.89
In 0.0000 0.0000 0.0000  4 Sb 2.71, 2 I 2.79